[1]
7
Lattice="7.333 0.000 0.000 -3.667 6.351 0.000 0.000 0.000 7.714" Properties=species:S:1:pos:R:3 comment="Ba4La3 (PBE, optimized geometry)" spacegroup="No. 191" delta_e_f_mev_per_atom=210 pbc="T T T"
Ba 0.000 0.000 1.876
Ba 0.000 0.000 5.838
Ba 0.000 4.234 3.857
Ba 3.667 2.117 3.857
La -1.833 3.175 0.000
La 3.667 0.000 0.000
La 1.833 3.175 0.000


[2]
10
Lattice="0.000 4.520 4.520 4.520 0.000 4.520 4.520 4.520 0.000" Properties=species:S:1:pos:R:3 comment="Y2ZnGaCu6 (PBE, optimized geometry)" spacegroup="No. 225" delta_e_f_mev_per_atom=110 pbc="T T T"
Y 2.260 2.260 2.260
Y 6.780 6.780 6.780
Zn 0.000 0.000 0.000
Ga 4.520 4.520 4.520
Cu 4.520 4.520 2.255
Cu 4.520 2.255 4.520
Cu 6.786 4.520 4.520
Cu 2.255 4.520 4.520
Cu 4.520 6.786 4.520
Cu 4.520 4.520 6.786


[3]
4
Lattice="3.276 0.000 0.000 0.000 3.276 0.000 0.000 0.000 6.409" Properties=species:S:1:pos:R:3 comment="SrBe2P (PBE, optimized geometry)" spacegroup="No. 99" delta_e_f_mev_per_atom=166 pbc="T T T"
Sr 0.000 0.000 0.000
Be 0.000 0.000 3.330
Be 1.638 1.638 2.228
P 1.638 1.638 4.280


[4]
4
Lattice="0.000 3.042 3.042 3.042 0.000 3.042 3.042 3.042 0.000" Properties=species:S:1:pos:R:3 comment="CoRe2Tc (PBE, optimized geometry)" spacegroup="No. 225" delta_e_f_mev_per_atom=331 de_polymorph_mev_per_atom=305 pbc="T T T"
Co 0.000 0.000 0.000
Re 1.521 1.521 1.521
Re 4.562 4.562 4.562
Tc 3.042 3.042 3.042


[5]
9
Lattice="4.907 0.000 0.000 -2.041 6.616 0.000 -0.522 -2.676 8.999" Properties=species:S:1:pos:R:3 comment="Cs3As4H2 (PBE, optimized geometry)" spacegroup="No. 2" energy_ev_per_atom=-3.37 pbc="T T T"
Cs 0.000 0.000 0.000
Cs 0.039 3.524 5.516
Cs 2.306 0.416 3.483
As -0.129 -0.073 6.362
As -0.141 1.102 8.558
As 2.485 2.838 0.441
As 2.474 4.013 2.637
H -0.886 4.235 2.592
H 3.230 -0.295 6.407


[6]
16
Lattice="8.499 0.000 0.000 0.000 7.984 0.000 0.000 0.000 5.667" Properties=species:S:1:pos:R:3 comment="Tl3AgF4 (PBE, optimized geometry)" spacegroup="No. 31" e_form_raw_ev_per_atom=-1.53 de_polymorph_mev_per_atom=3 pbc="T T T"
Tl 0.000 0.799 0.000
Tl 1.891 2.738 2.683
Tl 2.358 5.247 5.517
Tl 4.249 7.186 2.833
Tl 6.140 5.247 5.517
Tl 6.608 2.738 2.683
Ag 0.000 6.365 2.711
Ag 4.249 1.619 5.545
F 0.000 0.738 3.172
F 0.000 6.102 5.334
F 2.110 2.420 5.252
F 2.139 5.565 2.419
F 4.249 1.883 2.500
F 4.249 7.247 0.338
F 6.359 5.565 2.419
F 6.389 2.420 5.252


[7]
14
Lattice="5.748 3.318 7.152 -5.748 3.318 7.152 0.000 -6.637 7.152" Properties=species:S:1:pos:R:3 comment="K3RbNa3 (PBE, optimized geometry)" spacegroup="No. 148" delta_e_f_mev_per_atom=33 de_polymorph_mev_per_atom=0 pbc="T T T"
K -1.547 -2.147 8.956
K -2.633 0.266 12.501
K -1.086 2.413 8.956
K 1.086 -2.413 12.501
K 2.633 -0.266 8.956
K 1.547 2.147 12.501
Rb 0.000 0.000 5.000
Rb 0.000 0.000 16.457
Na -4.977 1.124 8.656
Na -3.462 -3.749 12.801
Na 1.515 -4.872 8.656
Na -1.515 4.872 12.801
Na 3.462 3.749 8.656
Na 4.977 -1.124 12.801


[8]
5
Lattice="4.964 0.000 0.000 0.000 4.964 0.000 0.000 0.000 4.282" Properties=species:S:1:pos:R:3 comment="Mg2NbBBr (PBE, optimized geometry)" spacegroup="No. 123" e_form_raw_ev_per_atom=1.52 pbc="T T T"
Mg 0.000 2.482 0.000
Mg 2.482 0.000 0.000
Nb 0.000 0.000 2.141
B 2.482 2.482 2.141
Br 2.482 2.482 0.000


[9]
5
Lattice="5.111 0.000 0.000 0.000 5.111 0.000 0.000 0.000 5.111" Properties=species:S:1:pos:R:3 comment="LaTa3Cd (PBE, optimized geometry)" spacegroup="No. 221" delta_e_f_mev_per_atom=1802 de_polymorph_mev_per_atom=0 pbc="T T T"
La 0.000 0.000 0.000
Ta 0.000 2.555 2.555
Ta 2.555 0.000 2.555
Ta 2.555 2.555 0.000
Cd 2.555 2.555 2.555


[10]
5
Lattice="5.134 0.000 0.000 0.000 5.134 0.000 0.000 0.000 5.405" Properties=species:S:1:pos:R:3 comment="InHg2AsIr (PBE, optimized geometry)" spacegroup="No. 123" delta_e_f_mev_per_atom=1145 pbc="T T T"
In 0.000 0.000 0.000
Hg 0.000 2.567 2.702
Hg 2.567 0.000 2.702
As 0.000 0.000 2.702
Ir 2.567 2.567 0.000


Quick rundown of DOS at the Fermi energy, same order as above: 2.1373, 0.5573, 0.5599, 1.3029, 0.1379, 0.0000, 0.5764, 1.1369, 2.0625, 0.9400 states/eV/atom
Quick rundown of V, same order as above: 51.323, 18.471, 17.200, 14.068, 32.462, 24.033, 58.464, 21.107, 26.698, 28.495 A^3/atom
Quick rundown of total magnetization, same order as above: 0.9, 0.0, 0.0, 1.5, 0.0, 0.0, 0.0, 0.0, 1.6, 1.4 Bohr magnetons per cell